No. 1
CeTm2Ge4 | the Alexandria database | PBE | optimized geometry; DFT total energy = -5.485 eV per atom; symmetry = Immm; magnetization = 0.62 Bohr magnetons per cell; ΔH_f (0 K) = -5.05 eV/f.u.
1.0
3.9154 0.0000 -0.8927
-0.2194 4.1184 -0.9621
0.1204 0.0626 9.5608
Ge Tm Ce
4 2 1
direct
0.6598 0.6598 0.3197
0.3402 0.3402 0.6803
0.0678 0.5678 0.1355
0.9322 0.4322 0.8645
0.8177 0.8177 0.6354
0.1823 0.1823 0.3646
0.5000 0.0000 0.0000

---

No. 2
Ce2TmGe | the Alexandria database | PBE | optimized geometry; DFT total energy = -5.689 eV per atom; symmetry = P2_1/m; magnetization = 0.00 Bohr magnetons per cell; ΔH_f (0 K) = -1.80 eV/f.u.
1.0
-1.9485 2.6954 -2.6609
1.2422 -2.3527 -3.2929
-8.2195 -7.1850 2.0330
Ce Tm Ge
4 2 2
direct
0.5975 0.2500 0.1226
0.4025 0.7500 0.8774
0.0205 0.7500 0.1285
0.9795 0.2500 0.8715
0.6959 0.7500 0.3951
0.3041 0.2500 0.6049
0.1759 0.2500 0.3378
0.8241 0.7500 0.6622

---

No. 3
Ce2TmGe | the Alexandria database | PBE | optimized geometry; DFT total energy = -5.565 eV per atom; symmetry = P4/mmm; magnetization = 1.55 Bohr magnetons per cell; ΔH_f (0 K) = -1.30 eV/f.u.
1.0
-0.2191 -0.4601 3.9519
1.2526 -3.7646 -0.3689
6.4058 2.0730 0.5966
Ge Tm Ce
1 1 2
direct
0.5000 0.5000 0.5000
0.5000 0.5000 0.0000
0.0000 0.0000 0.6990
0.0000 0.0000 0.3010

---

No. 4
Ce3TmGe2 | the Alexandria database | PBE | optimized geometry; DFT total energy = -5.740 eV per atom; symmetry = C2/m; magnetization = 0.01 Bohr magnetons per cell; ΔH_f (0 K) = -2.93 eV/f.u.
1.0
-0.5141 2.1535 3.4577
6.4833 -5.6505 2.0455
2.7209 7.3879 -4.1966
Ce Tm Ge
6 2 4
direct
0.2813 0.5626 0.6048
0.9305 0.8609 0.5617
0.6209 0.2418 0.6794
0.3791 0.7582 0.3206
0.0695 0.1391 0.4383
0.7187 0.4374 0.3952
0.8912 0.7824 0.9697
0.1088 0.2176 0.0303
0.4778 0.9555 0.8331
0.5222 0.0445 0.1669
0.7478 0.4957 0.0911
0.2522 0.5043 0.9089

---

No. 5
Ce2TmGe | the Alexandria database | PBE | optimized geometry; DFT total energy = -5.332 eV per atom; symmetry = R-3m; magnetization = 0.76 Bohr magnetons per cell; ΔH_f (0 K) = -0.37 eV/f.u.
1.0
3.7848 0.0000 0.0000
1.8924 3.2778 0.0000
1.8924 1.0926 9.4395
Ge Tm Ce
1 1 2
direct
0.0000 0.0000 0.0000
0.5000 0.5000 0.5000
0.2651 0.2651 0.2047
0.7349 0.7349 0.7953

---

No. 6
CeTmGe3 | the Alexandria database | PBE | optimized geometry; DFT total energy = -5.521 eV per atom; symmetry = Cmcm; magnetization = 1.27 Bohr magnetons per cell; ΔH_f (0 K) = -3.35 eV/f.u.
1.0
3.9819 0.0000 0.0000
0.0000 4.1146 -0.7867
0.0000 0.4583 13.5500
Ce Tm Ge
2 2 6
direct
0.2500 0.0746 0.1492
0.7500 0.9254 0.8508
0.2500 0.7958 0.5916
0.7500 0.2042 0.4084
0.2500 0.3757 0.7515
0.7500 0.6243 0.2485
0.2500 0.4715 0.9430
0.7500 0.5285 0.0570
0.7500 0.3126 0.6252
0.2500 0.6874 0.3748

---

What did the fifth record say?
Ce2TmGe | the Alexandria database | PBE | optimized geometry; DFT total energy = -5.332 eV per atom; symmetry = R-3m; magnetization = 0.76 Bohr magnetons per cell; ΔH_f (0 K) = -0.37 eV/f.u.
1.0
3.7848 0.0000 0.0000
1.8924 3.2778 0.0000
1.8924 1.0926 9.4395
Ge Tm Ce
1 1 2
direct
0.0000 0.0000 0.0000
0.5000 0.5000 0.5000
0.2651 0.2651 0.2047
0.7349 0.7349 0.7953